# 1
Density functional theory data (PBE) for a relaxed Ac3Pr2Pt2 crystal.

Geometry as POSCAR:
```
Ac3Pr2Pt2
1.0
4.0421 0.0000 0.0000
2.0198 6.6650 0.0000
2.0139 2.4659 8.7832
Ac Pr Pt
3 2 2
Direct
0.0000 0.0000 0.0000
0.1123 0.2055 0.5678
0.8877 0.7945 0.4322
0.3242 0.5355 0.8180
0.6758 0.4645 0.1820
0.3253 0.1112 0.2381
0.6747 0.8888 0.7619
```

For the formation energy, the calculation gives -0.653 eV per atom.

***

# 2
Density functional theory data (PBE) for a relaxed K2TiNiB crystal.

Geometry as POSCAR:
```
K2TiNiB
1.0
5.9705 0.0000 0.0000
0.0000 5.9705 0.0000
0.0000 0.0000 4.1825
K Ti Ni B
2 1 1 1
Direct
0.0000 0.5000 0.0000
0.5000 0.0000 0.0000
0.0000 0.0000 0.5000
0.5000 0.5000 0.5000
0.0000 0.0000 0.0000
```

For the formation energy, the calculation gives 1.265 eV per atom.

***

# 3
Density functional theory data (PBE) for a relaxed Zr3ScO crystal.

Geometry as POSCAR:
```
Zr3ScO
1.0
5.0069 0.0000 0.0000
0.0000 5.0069 0.0000
0.0000 0.0000 5.0069
Zr Sc O
3 1 1
Direct
0.0000 0.0000 0.5000
0.0000 0.5000 0.0000
0.5000 0.0000 0.0000
0.0000 0.0000 0.0000
0.5000 0.5000 0.5000
```

As for the raw formation energy: 1.4741 eV/atom. The distance to the lowest polymorph of the same formula is 12.70 eV per formula unit.

***

# 4
Density functional theory data (PBE) for a relaxed Pu2CoCu crystal.

Geometry as POSCAR:
```
Pu2CoCu
1.0
3.1937 0.0000 0.0000
0.0000 3.1937 0.0000
0.0000 0.0000 7.5272
Pu Co Cu
2 1 1
Direct
0.0000 0.0000 0.2295
0.0000 0.0000 0.7705
0.5000 0.5000 0.0000
0.5000 0.5000 0.5000
```

For the formation energy, the calculation gives 0.076 eV per atom.

***

Number 1: raw total energy -5.505 eV per atom, density of states at the Fermi level 9.20 states/eV/cell. Number 2: raw total energy -3.245 eV per atom, density of states at the Fermi level 6.17 states/eV/cell. Number 3: raw total energy -5.913 eV per atom, density of states at the Fermi level 7.23 states/eV/cell. Number 4: raw total energy -9.890 eV per atom, density of states at the Fermi level 12.11 states/eV/cell.